Record 1
Material: Pm5Sm3Th
Method: DFT, PBE
State: relaxed

```
data_Pm5Sm3Th
_cell_length_a 7.990
_cell_length_b 7.990
_cell_length_c 19.485
_cell_angle_alpha 90.00
_cell_angle_beta 90.00
_cell_angle_gamma 90.00
_space_group_name_H-M_alt 'I 4/m c m'
_space_group_IT_number 140
_space_group_name_Hall '-I 4 2c'
loop_
_atom_site_label
_atom_site_type_symbol
_atom_site_fract_x
_atom_site_fract_y
_atom_site_fract_z
Pm1 Pm 0.000 0.000 0.000
Pm2 Pm 0.209 0.291 0.133
Sm1 Sm 0.000 0.000 0.250
Sm2 Sm 0.129 0.371 0.500
Th1 Th 0.000 0.500 0.250
```

Values from the calculation:
Its final energy is -0.174 hartree per atom. Its crystal system is tetragonal.

Record 2
Material: TlCuAs2PbS5
Method: DFT, PBE
State: relaxed

```
data_TlCuAs2PbS5
_cell_length_a 7.976
_cell_length_b 8.255
_cell_length_c 9.425
_cell_angle_alpha 68.09
_cell_angle_beta 74.21
_cell_angle_gamma 63.94
_space_group_name_H-M_alt 'P -1'
_space_group_IT_number 2
_space_group_name_Hall '-P 1'
loop_
_atom_site_label
_atom_site_type_symbol
_atom_site_fract_x
_atom_site_fract_y
_atom_site_fract_z
Tl1 Tl 0.238 0.331 0.379
Cu1 Cu 0.377 0.795 0.370
As1 As 0.060 0.861 0.688
As2 As 0.417 0.444 0.861
Pb1 Pb 0.245 0.049 0.920
S1 S 0.134 0.865 0.250
S2 S 0.150 0.694 0.932
S3 S 0.322 0.389 0.686
S4 S 0.327 0.916 0.566
S5 S 0.375 0.209 0.078
```

Values from the calculation:
The energy relative to the elements, uncorrected comes out at -0.286 eV/atom. Its crystal system is triclinic.

Record 3
Material: MoAuBr2
Method: DFT, PBE
State: relaxed

```
data_MoAuBr2
_cell_length_a 9.038
_cell_length_b 9.038
_cell_length_c 5.309
_cell_angle_alpha 90.00
_cell_angle_beta 90.00
_cell_angle_gamma 90.00
_space_group_name_H-M_alt 'I -4 2 d'
_space_group_IT_number 122
_space_group_name_Hall 'I -4 2bw'
loop_
_atom_site_label
_atom_site_type_symbol
_atom_site_fract_x
_atom_site_fract_y
_atom_site_fract_z
Mo1 Mo 0.000 0.000 0.000
Au1 Au 0.000 0.000 0.500
Br1 Br 0.106 0.750 0.125
```

Values from the calculation:
The energy relative to the elements, uncorrected comes out at 0.359 eV/atom. Its crystal system is tetragonal. Its excess energy over the best structure of this formula in the dataset is 276 meV per atom.

Record 4
Material: DyHgGeBr6
Method: DFT, PBE
State: relaxed

```
data_DyHgGeBr6
_cell_length_a 7.2081
_cell_length_b 7.2081
_cell_length_c 6.9054
_cell_angle_alpha 90.00
_cell_angle_beta 90.00
_cell_angle_gamma 120.00
_space_group_name_H-M_alt 'P 3 1 2'
_space_group_IT_number 149
_space_group_name_Hall 'P 3 2'
loop_
_atom_site_label
_atom_site_type_symbol
_atom_site_fract_x
_atom_site_fract_y
_atom_site_fract_z
Dy1 Dy 0.0000 0.0000 0.0000
Hg1 Hg 0.3333 0.6667 0.5000
Ge1 Ge 0.6667 0.3333 0.0000
Br1 Br 0.3341 0.0248 0.2309
```

Values from the calculation:
The energy relative to the elements, uncorrected comes out at -1.022 eV/atom. Its crystal system is trigonal.

Record 5
Material: ZrAl2Tc2
Method: DFT, PBE
State: relaxed

```
data_ZrAl2Tc2
_cell_length_a 4.423
_cell_length_b 4.423
_cell_length_c 18.999
_cell_angle_alpha 90.00
_cell_angle_beta 90.00
_cell_angle_gamma 90.00
_space_group_name_H-M_alt 'I 4/m m m'
_space_group_IT_number 139
_space_group_name_Hall '-I 4 2'
loop_
_atom_site_label
_atom_site_type_symbol
_atom_site_fract_x
_atom_site_fract_y
_atom_site_fract_z
Zr1 Zr 0.000 0.000 0.149
Al1 Al 0.000 0.000 0.308
Al2 Al 0.000 0.500 0.000
Tc1 Tc 0.000 0.000 0.436
Tc2 Tc 0.000 0.500 0.250
```

Values from the calculation:
Its crystal system is tetragonal. Its excess energy over the best structure of this formula in the dataset is 410 meV per atom.

Record 6
Material: La2WAu
Method: DFT, PBE
State: relaxed

```
data_La2WAu
_cell_length_a 3.470
_cell_length_b 5.198
_cell_length_c 5.641
_cell_angle_alpha 90.00
_cell_angle_beta 95.98
_cell_angle_gamma 90.00
_space_group_name_H-M_alt 'P 1 m 1'
_space_group_IT_number 6
_space_group_name_Hall 'P -2y'
loop_
_atom_site_label
_atom_site_type_symbol
_atom_site_fract_x
_atom_site_fract_y
_atom_site_fract_z
La1 La 0.000 0.000 0.000
La2 La 0.111 0.500 0.552
W1 W 0.546 0.500 0.086
Au1 Au 0.581 0.000 0.459
```

Values from the calculation:
Its crystal system is monoclinic. Its excess energy over the best structure of this formula in the dataset is 70 meV per atom.